# 1
DFT (GGA-PBE) results for MgFe4As after structural relaxation.

```
data_MgFe4As
_cell_length_a 6.8592
_cell_length_b 6.8592
_cell_length_c 6.8592
_cell_angle_alpha 90.00
_cell_angle_beta 90.00
_cell_angle_gamma 90.00
_symmetry_space_group_name_H-M 'F -4 3 m'
_symmetry_Int_Tables_number 216
_symmetry_space_group_name_Hall 'F -4 2 3'
loop_
_atom_site_label
_atom_site_type_symbol
_atom_site_fract_x
_atom_site_fract_y
_atom_site_fract_z
Mg1 Mg 0.0000 0.0000 0.0000
Fe1 Fe 0.1254 0.1254 0.3746
As1 As 0.2500 0.2500 0.7500
```

formation energy: 0.9 eV per formula unit

# 2
DFT (GGA-PBE) results for TaGaPCl2 after structural relaxation.

```
data_TaGaPCl2
_cell_length_a 4.9093
_cell_length_b 4.9093
_cell_length_c 4.9037
_cell_angle_alpha 90.00
_cell_angle_beta 90.00
_cell_angle_gamma 90.00
_symmetry_space_group_name_H-M 'P 4/m m m'
_symmetry_Int_Tables_number 123
_symmetry_space_group_name_Hall '-P 4 2'
loop_
_atom_site_label
_atom_site_type_symbol
_atom_site_fract_x
_atom_site_fract_y
_atom_site_fract_z
Ta1 Ta 0.0000 0.0000 0.0000
Ga1 Ga 0.5000 0.5000 0.5000
P1 P 0.0000 0.0000 0.5000
Cl1 Cl 0.0000 0.5000 0.0000
```

distance to the lowest polymorph of the same formula: 0 meV/atom
raw formation energy: -274 meV per atom

| no. | uncorrected energy (eV for the cell shown) | total magnetic moment (μB/atom) |
| --- | --- | --- |
| 1 | -156.8 | 1.41 |
| 2 | -25.4 | 0.02 |